Density functional theory data (GGA-PBE) for a relaxed Na2NbRe crystal.

Cell and atoms, written as CIF:
```
data_Na2NbRe
_space_group_name_H-M_alt 'F m -3 m'
_space_group_IT_number 225
_space_group_name_Hall '-F 4 2 3'
_cell_length_a 6.6496
_cell_length_b 6.6496
_cell_length_c 6.6496
_cell_angle_alpha 90.00
_cell_angle_beta 90.00
_cell_angle_gamma 90.00
loop_
_atom_site_label
_atom_site_type_symbol
_atom_site_fract_x
_atom_site_fract_y
_atom_site_fract_z
_atom_site_occupancy
Na1 Na 0.2500 0.2500 0.2500 1
Nb1 Nb 0.0000 0.0000 0.0000 1
Re1 Re 0.0000 0.0000 0.5000 1
```

Output
The value obtained for the formation energy is 1.791 eV/atom. For the distance to the lowest polymorph of the same formula, the calculation gives 5.421 kcal/mol of atoms. The value obtained for the total energy is -4.498 eV/atom. For the density of states at the Fermi level, the calculation gives 0.911 states/eV per atom. Its spin magnetization is 0.001 μB/f.u.

---

Density functional theory data (GGA-PBE) for a relaxed Ca3SbI3 crystal.

Cell and atoms, written as CIF:
```
data_Ca3SbI3
_space_group_name_H-M_alt 'P 1 21/m 1'
_space_group_IT_number 11
_cell_length_a 9.2065
_cell_length_b 4.5981
_cell_length_c 12.8286
_cell_angle_alpha 90.00
_cell_angle_beta 90.28
_cell_angle_gamma 90.00
loop_
_space_group_symop_operation_xyz
'x,y,z'
'-x,-y,-z'
'-x,y+1/2,-z'
'x,-y+1/2,z'
loop_
_atom_site_label
_atom_site_type_symbol
_atom_site_fract_x
_atom_site_fract_y
_atom_site_fract_z
_atom_site_occupancy
Ca1 Ca 0.0994 0.2500 0.3841 1
Ca2 Ca 0.1366 0.2500 0.8667 1
Ca3 Ca 0.3520 0.7500 0.6329 1
Sb1 Sb 0.1283 0.2500 0.6269 1
I1 I 0.1115 0.2500 0.1216 1
I2 I 0.3711 0.7500 0.8796 1
I3 I 0.3793 0.7500 0.3766 1
```

Output
The value obtained for the total energy is -3.533 eV/atom. The calculation puts the formation energy from raw total energies at -1.4215 eV per atom. Its spin magnetization is 0.000 μB/f.u.

---

Density functional theory data (GGA-PBE) for a relaxed Li2CrTc crystal.

Cell and atoms, written as CIF:
```
data_Li2CrTc
_space_group_name_H-M_alt 'P 1 m 1'
_space_group_IT_number 6
_cell_length_a 2.4723
_cell_length_b 4.1240
_cell_length_c 5.4814
_cell_angle_alpha 90.00
_cell_angle_beta 97.95
_cell_angle_gamma 90.00
loop_
_space_group_symop_operation_xyz
'x,y,z'
'x,-y,z'
loop_
_atom_site_label
_atom_site_type_symbol
_atom_site_fract_x
_atom_site_fract_y
_atom_site_fract_z
_atom_site_occupancy
Li1 Li 0.0000 0.0000 0.0000 1
Li2 Li 0.2110 0.5000 0.7665 1
Cr1 Cr 0.4894 0.0000 0.4742 1
Tc1 Tc 0.7065 0.5000 0.2907 1
```

Output
The value obtained for the formation energy is 0.277 eV/atom. For the distance to the lowest polymorph of the same formula, the calculation gives 0.882 kcal/mol of atoms. The value obtained for the total energy is -5.677 eV/atom. For the density of states at the Fermi level, the calculation gives 0.605 states/eV per atom. Its spin magnetization is 0.000 μB/f.u.

---

- Which value of spin magnetization does entry 2 give?
  0.000 μB/f.u.